No. 1
Computed, not measured: KTh2S4 after structural relaxation at the GGA-PBE level of DFT.

Geometry as POSCAR:
```
KTh2S4
1.0
-3.143 2.153 -1.550
3.942 -2.153 -5.529
-7.599 -11.708 -0.859
K Th S
2 4 8
Direct
0.614 0.228 0.750
0.386 0.772 0.250
0.129 0.257 0.434
0.871 0.743 0.934
0.129 0.257 0.066
0.871 0.743 0.566
0.765 0.530 0.107
0.765 0.530 0.393
0.235 0.470 0.893
0.235 0.470 0.607
0.937 0.875 0.750
0.063 0.125 0.250
0.500 0.000 0.000
0.500 0.000 0.500
```

Output
As for the uncorrected formation energy: -1829 meV per atom. The total moment comes out at 0.00 Bohr magnetons per cell.

=====

No. 2
Computed, not measured: Er2TmZn after structural relaxation at the GGA-PBE level of DFT.

Geometry as POSCAR:
```
Er2TmZn
1.0
-1.153 3.657 -0.702
-4.060 -1.792 -2.670
-2.827 -0.058 4.339
Zn Tm Er
1 1 2
Direct
0.500 0.000 0.000
0.500 0.500 0.500
0.000 0.000 0.500
0.000 0.500 0.000
```

Output
For the formation energy from the elements, the calculation gives 0.0 kcal/mol of atoms. The total moment comes out at 0.00 Bohr magnetons per cell.

=====

No. 3
Computed, not measured: Tm2In5Pd12 after structural relaxation at the GGA-PBE level of DFT.

Geometry as POSCAR:
```
Tm2In5Pd12
1.0
9.277 0.000 0.000
-4.638 7.320 0.177
0.000 -1.651 5.023
Tm In Pd
2 5 12
Direct
0.774 0.000 0.000
0.226 0.000 0.000
0.220 0.441 0.487
0.362 0.724 0.132
0.000 0.000 0.500
0.638 0.276 0.868
0.780 0.559 0.513
0.153 0.306 0.944
0.066 0.598 0.799
0.532 0.598 0.799
0.142 0.796 0.401
0.655 0.796 0.401
0.437 0.874 0.701
0.563 0.126 0.299
0.858 0.204 0.599
0.345 0.204 0.599
0.934 0.402 0.201
0.468 0.402 0.201
0.847 0.694 0.056
```

Output
For the formation energy from the elements, the calculation gives -13.4 kcal/mol of atoms. The total moment comes out at 0.00 Bohr magnetons per cell.

=====

No. 4
Computed, not measured: Nd6AlCo2Cl3 after structural relaxation at the GGA-PBE level of DFT.

Geometry as POSCAR:
```
Nd6AlCo2Cl3
1.0
-1.397 -3.139 -1.922
5.149 1.965 -6.953
5.920 -4.410 6.931
Nd Al Co Cl
6 1 2 3
Direct
0.337 0.875 0.674
0.685 0.575 0.369
0.663 0.125 0.326
0.031 0.273 0.062
0.969 0.727 0.938
0.315 0.425 0.631
0.500 0.000 0.000
0.828 0.652 0.656
0.172 0.348 0.344
0.500 0.500 0.000
0.825 0.150 0.651
0.175 0.850 0.349
```

Output
As for the uncorrected formation energy: -806 meV per atom. The total moment comes out at 0.00 Bohr magnetons per cell.

=====

No. 5
Computed, not measured: MgH3Ir4 after structural relaxation at the GGA-PBE level of DFT.

Geometry as POSCAR:
```
MgH3Ir4
1.0
-1.882 -3.918 -2.020
5.276 -0.071 0.911
1.383 -0.098 4.589
Mg H Ir
1 3 4
Direct
0.417 0.139 0.208
0.931 0.304 0.198
0.060 0.304 0.695
0.427 0.305 0.565
0.618 0.657 0.372
0.748 0.131 0.877
0.253 0.657 0.726
0.900 0.657 0.007
```

Output
The value obtained for the raw total energy is -5.85 eV/atom. The total moment comes out at 0.00 Bohr magnetons per cell.

=====

No. 6
Computed, not measured: CdIn2Hg7 after structural relaxation at the GGA-PBE level of DFT.

Geometry as POSCAR:
```
CdIn2Hg7
1.0
-0.045 0.903 -3.209
0.345 -10.120 -2.852
-8.340 6.141 1.844
Cd In Hg
1 2 7
Direct
0.000 0.000 0.000
0.500 0.799 0.201
0.500 0.201 0.799
0.000 0.662 0.337
0.000 0.338 0.663
0.500 0.137 0.323
0.500 0.863 0.677
0.500 0.323 0.137
0.500 0.677 0.863
0.500 0.500 0.500
```

Output
For the formation energy from the elements, the calculation gives 1.3 kcal/mol of atoms. The total moment comes out at 0.00 Bohr magnetons per cell.

=====

No. 7
Computed, not measured: Ti5Tc6Ge after structural relaxation at the GGA-PBE level of DFT.

Geometry as POSCAR:
```
Ti5Tc6Ge
1.0
4.282 0.002 -0.899
-0.003 6.235 -0.001
-0.809 0.000 6.857
Ge Tc Ti
1 6 5
Direct
0.000 0.000 0.000
0.834 0.751 0.667
0.834 0.249 0.667
0.500 0.253 0.000
0.500 0.747 0.000
0.166 0.751 0.333
0.166 0.249 0.333
0.666 0.500 0.332
0.336 0.000 0.672
0.000 0.500 0.000
0.664 0.000 0.328
0.334 0.500 0.668
```

Output
For the formation energy from the elements, the calculation gives -10.4 kcal/mol of atoms. The total moment comes out at 0.00 Bohr magnetons per cell.

=====

No. 8
Computed, not measured: Be2GeRh4 after structural relaxation at the GGA-PBE level of DFT.

Geometry as POSCAR:
```
Be2GeRh4
1.0
3.859 0.000 1.206
1.741 3.444 1.206
-0.007 -0.004 6.802
Be Ge Rh
2 1 4
Direct
0.751 0.751 0.747
0.249 0.249 0.253
0.000 0.000 0.000
0.870 0.870 0.391
0.130 0.130 0.609
0.622 0.622 0.134
0.378 0.378 0.866
```

Output
For the formation energy from the elements, the calculation gives -8.3 kcal/mol of atoms. The total moment comes out at 0.00 Bohr magnetons per cell.

=====

No. 9
Computed, not measured: TcPbAu2 after structural relaxation at the GGA-PBE level of DFT.

Geometry as POSCAR:
```
TcPbAu2
1.0
-0.541 -5.577 -8.141
-2.596 -7.058 -6.412
-3.447 -4.602 -8.038
Au Pb Tc
2 1 1
Direct
0.009 0.009 0.009
0.491 0.491 0.491
0.250 0.250 0.250
0.750 0.750 0.750
```

Output
For the formation energy from the elements, the calculation gives 10.3 kcal/mol of atoms. The total moment comes out at 0.00 Bohr magnetons per cell.

=====

No. 10
Computed, not measured: RbSbPS6 after structural relaxation at the GGA-PBE level of DFT.

Geometry as POSCAR:
```
RbSbPS6
1.0
6.102 0.000 0.000
3.051 5.284 0.000
0.000 0.000 7.878
Rb Sb P S
1 1 1 6
Direct
0.000 0.000 0.000
0.667 0.667 0.500
0.333 0.333 0.500
0.040 0.348 0.324
0.348 0.040 0.676
0.612 0.348 0.676
0.040 0.612 0.676
0.348 0.612 0.324
0.612 0.040 0.324
```

Output
As for the uncorrected formation energy: -146 meV per atom. The total moment comes out at 0.61 Bohr magnetons per cell.

=====

No. 11
Computed, not measured: LaZr2Mo after structural relaxation at the GGA-PBE level of DFT.

Geometry as POSCAR:
```
LaZr2Mo
1.0
-0.076 3.507 0.203
-4.606 -0.214 1.980
1.989 -0.224 4.602
La Mo Zr
1 1 2
Direct
0.500 0.500 0.000
0.500 0.000 0.500
0.000 0.000 0.000
0.000 0.500 0.500
```

Output
For the formation energy from the elements, the calculation gives 9.1 kcal/mol of atoms. The total moment comes out at 0.00 Bohr magnetons per cell.

=====

No. 12
Computed, not measured: ZrAl2TlSi after structural relaxation at the GGA-PBE level of DFT.

Geometry as POSCAR:
```
ZrAl2TlSi
1.0
4.706 0.000 0.000
0.000 5.248 0.000
0.000 0.000 4.706
Tl Si Zr Al
1 1 1 2
Direct
0.000 0.500 0.000
0.000 0.000 0.000
0.500 0.500 0.500
0.000 0.000 0.500
0.500 0.000 0.000
```

Output
As for the uncorrected formation energy: 708 meV per atom. The total moment comes out at 0.00 Bohr magnetons per cell.

=====

No. 13
Computed, not measured: Ba2SrSnRh after structural relaxation at the GGA-PBE level of DFT.

Geometry as POSCAR:
```
Ba2SrSnRh
1.0
-5.283 -2.538 -1.684
-1.000 -1.738 5.759
-2.508 4.590 0.950
Sr Rh Ba Sn
1 1 2 1
Direct
0.500 0.500 0.500
0.000 0.000 0.000
0.000 0.500 0.000
0.500 0.000 0.000
0.000 0.000 0.500
```

Output
For the formation energy from the elements, the calculation gives -6.3 kcal/mol of atoms. The total moment comes out at 0.00 Bohr magnetons per cell.